# 1
A geometry-optimized TcSbRu2 structure. Source: the Alexandria database, functional GGA-PBE.

Unit cell a=4.787 b=4.787 c=4.780 alpha=81.16 beta=81.16 gamma=35.56
Sites, in units of the cell vectors:
Ru (0.008, 0.008, 0.981)
Tc (0.750, 0.750, 0.750)
Sb (0.250, 0.250, 0.250)
Ru (0.492, 0.492, 0.519)

Results
Formation energy (no corrections) in meV/atom: 199
E in eV/atom: -8.0612
Density of states at the Fermi level in states/eV/cell: 4.477
SG: C2/m

# 2
A geometry-optimized Rb2NdPdO4 structure. Source: the Alexandria database, functional GGA-PBE.

Unit cell a=6.207 b=7.724 c=12.528 alpha=84.29 beta=75.66 gamma=66.31
Site moments in Bohr magnetons follow the coordinates.
Sites, in units of the cell vectors:
O (0.138, 0.298, 0.471)  0.14
O (0.907, 0.702, 0.529)  0.14
O (0.187, 0.202, 0.971)  0.14
O (0.612, 0.202, 0.029)  0.14
Pd (0.250, 0.500, 0.500)  0.40
Rb (0.197, 0.000, 0.606)  0.00
Nd (0.750, 0.500, 0.500)  -0.01
O (0.359, 0.798, 0.029)  0.14
O (0.563, 0.298, 0.529)  0.14
Rb (0.803, 0.000, 0.394)  0.00
O (0.391, 0.702, 0.471)  0.14
O (0.843, 0.798, 0.971)  0.14
Nd (0.000, 0.000, 0.000)  -0.01
Rb (0.947, 0.500, 0.106)  0.00
Pd (0.500, 0.000, 0.000)  0.40
Rb (0.553, 0.500, 0.894)  0.00

Results
Formation energy (no corrections) in meV/atom: -1292
E in eV/atom: -5.2583
Density of states at the Fermi level in states/eV/cell: 7.980
SG: Fddd

# 3
A geometry-optimized SrCdRu2 structure. Source: the Alexandria database, functional GGA-PBE.

Unit cell a=5.357 b=5.357 c=5.357 alpha=132.85 beta=132.85 gamma=68.89
Site moments in Bohr magnetons follow the coordinates.
Sites, in units of the cell vectors:
Ru (0.500, 0.500, 0.000)  1.32
Ru (0.000, 0.000, 0.000)  1.32
Sr (0.250, 0.750, 0.500)  -0.02
Cd (0.750, 0.250, 0.500)  -0.02

Results
E in eV/atom: -4.5622
Density of states at the Fermi level in states/eV/cell: 4.386
SG: I4/mmm
E_form in eV/atom: 0.725

# 4
A geometry-optimized ZrTe2Cl structure. Source: the Alexandria database, functional GGA-PBE.

Unit cell a=9.235 b=9.235 c=9.235 alpha=25.29 beta=25.29 gamma=25.29
Sites, in units of the cell vectors:
Cl (0.000, 0.000, 0.000)
Te (0.898, 0.898, 0.898)
Zr (0.500, 0.500, 0.500)
Te (0.102, 0.102, 0.102)

Results
Formation energy (no corrections) in meV/atom: -667
E in eV/atom: -4.8368
Density of states at the Fermi level in states/eV/cell: 2.289
SG: R-3m

# 5
A geometry-optimized Mn2Zn structure. Source: the Alexandria database, functional GGA-PBE.

Unit cell a=4.405 b=4.405 c=4.405 alpha=147.05 beta=129.78 gamma=61.38
Site moments in Bohr magnetons follow the coordinates.
Sites, in units of the cell vectors:
Zn (0.333, 0.333, 0.000)  -0.02
Mn (0.665, 0.665, 0.000)  0.99
Mn (0.002, 0.002, 0.000)  0.99

Results
E in eV/atom: -6.3395
Density of states at the Fermi level in states/eV/cell: 3.123
SG: Immm
E_form in eV/atom: 0.198

# 6
A geometry-optimized Tl2HgRh structure. Source: the Alexandria database, functional GGA-PBE.

Unit cell a=7.277 b=7.277 c=4.635 alpha=71.42 beta=71.42 gamma=24.90
Sites, in units of the cell vectors:
Rh (0.249, 0.249, 0.251)
Tl (0.937, 0.937, 0.063)
Tl (0.747, 0.747, 0.753)
Hg (0.567, 0.567, 0.433)

Results
E in eV/atom: -3.0279
Density of states at the Fermi level in states/eV/cell: 1.861
SG: Imm2
E_form in eV/atom: 0.069

# 7
A geometry-optimized Cr2CoSe structure. Source: the Alexandria database, functional GGA-PBE.

Unit cell a=7.901 b=7.901 c=7.901 alpha=20.03 beta=20.03 gamma=20.03
Site moments in Bohr magnetons follow the coordinates.
Sites, in units of the cell vectors:
Se (0.250, 0.250, 0.250)  0.00
Cr (0.000, 0.000, 0.000)  -0.06
Co (0.750, 0.750, 0.750)  0.64
Cr (0.500, 0.500, 0.500)  -0.06

Results
Formation energy (no corrections) in meV/atom: 445
E in eV/atom: -7.0148
Density of states at the Fermi level in states/eV/cell: 5.409
SG: R-3m

# 8
A geometry-optimized Pr3Nd2PuN6 structure. Source: the Alexandria database, functional GGA-PBE.

Unit cell a=6.282 b=6.282 c=6.292 alpha=99.62 beta=99.62 gamma=119.91
Site moments in Bohr magnetons follow the coordinates.
Sites, in units of the cell vectors:
Pr (0.500, 0.500, 0.500)  0.06
N (0.235, 0.235, 0.761)  -0.07
N (0.922, 0.612, 0.767)  -0.09
Pu (0.000, 0.000, 0.000)  4.22
N (0.612, 0.922, 0.767)  -0.09
Pr (0.166, 0.834, 0.500)  0.05
Nd (0.666, 0.334, 0.000)  0.04
Nd (0.334, 0.666, 0.000)  0.04
Pr (0.834, 0.166, 0.500)  0.05
N (0.078, 0.388, 0.233)  -0.09
N (0.388, 0.078, 0.233)  -0.09
N (0.765, 0.765, 0.239)  -0.07

Results
Formation energy (no corrections) in meV/atom: -1310
E in eV/atom: -8.6564
Density of states at the Fermi level in states/eV/cell: 7.514
SG: C2/m

So what do the calculations give for spin magnetization? Going down the list: 0.0000, 0.1360, 0.6727, 0.0000, 0.6632, 0.0000, 0.1230, 0.3461 μB per atom.